Entry 1:
Computed, not measured: a relaxed B2C crystal at the PBE level of DFT.

Calculated values
Uncorrected energy = -86.6 eV/cell
Space-group type = C2/m, No. 12
Crystal system = monoclinic
Excess energy over the best structure of this formula in the dataset = 127 meV/atom
Total magnetization = 0.00 μB/f.u.

Structure (POSCAR):
```
B2C
1.0
1.372 6.701 0.348
-1.372 6.701 0.348
0.000 1.598 4.976
B C
8 4
direct
0.415 0.415 0.741
0.771 0.771 0.903
0.932 0.932 0.302
0.229 0.229 0.097
0.224 0.224 0.458
0.585 0.585 0.259
0.776 0.776 0.542
0.068 0.068 0.698
0.878 0.878 0.641
0.517 0.517 0.838
0.483 0.483 0.162
0.122 0.122 0.359
```

---

Entry 2:
Computed, not measured: a relaxed AlV2N crystal at the PBE level of DFT.

Calculated values
Uncorrected energy = -33.2 eV/cell
Space-group type = R-3m, No. 166
Crystal system = trigonal
Energy relative to the elements, uncorrected = -0.7195 eV/atom
Total magnetization = 0.00 μB/f.u.

Structure (POSCAR):
```
AlV2N
1.0
2.897 0.000 0.000
1.448 2.509 0.000
1.448 0.836 6.633
N Al V
1 1 2
direct
0.000 0.000 0.000
0.500 0.500 0.500
0.721 0.721 0.837
0.279 0.279 0.163
```